DFT (GGA-PBE) results for a geometry-optimized NaInHg2 structure.

The structure in CIF format:
```
data_NaInHg2
_space_group_name_H-M_alt 'P 4/m m m'
_space_group_IT_number 123
_space_group_name_Hall '-P 4 2'
_cell_length_a 4.8773
_cell_length_b 4.8773
_cell_length_c 4.2604
_cell_angle_alpha 90.00
_cell_angle_beta 90.00
_cell_angle_gamma 90.00
loop_
_atom_site_label
_atom_site_fract_x
_atom_site_fract_y
_atom_site_fract_z
Na1 0.0000 0.0000 0.0000
In1 0.5000 0.5000 0.0000
Hg1 0.0000 0.5000 0.5000
```

Properties
The value obtained for the electronic total energy is -1.319 eV/atom.



DFT (GGA-PBE) results for a geometry-optimized NaInHg2 structure.

The structure in CIF format:
```
data_NaInHg2
_space_group_name_H-M_alt 'P n m a'
_space_group_IT_number 62
_cell_length_a 8.3442
_cell_length_b 7.7939
_cell_length_c 6.5095
_cell_angle_alpha 90.00
_cell_angle_beta 90.00
_cell_angle_gamma 90.00
loop_
_space_group_symop_operation_xyz
'x,y,z'
'-x,-y,-z'
'-x+1/2,-y,z+1/2'
'x+1/2,y,-z+1/2'
'x+1/2,-y+1/2,-z+1/2'
'-x+1/2,y+1/2,z+1/2'
'-x,y+1/2,-z'
'x,-y+1/2,z'
loop_
_atom_site_label
_atom_site_fract_x
_atom_site_fract_y
_atom_site_fract_z
Na1 0.0184 0.2500 0.1807
In1 0.0650 0.7500 0.3203
Hg1 0.2286 0.0333 0.5410
```

Properties
The value obtained for the electronic total energy is -1.287 eV/atom.